This record from Alexandria describes PRuICl2 after structural relaxation. The functional is GGA-PBE.

```
PRuICl2
1.0
4.8298 0.0000 0.0000
0.0000 4.8298 0.0000
0.0000 0.0000 4.7012
P Ru I Cl
1 1 1 2
Direct
0.0000 0.0000 0.0000
0.0000 0.0000 0.5000
0.5000 0.5000 0.0000
0.0000 0.5000 0.5000
0.5000 0.0000 0.5000
```

## Properties
- D(E_F): 0.877 states/eV per atom
- Uncorrected formation energy: 216 meV per atom
- E: -18.85 eV per formula unit